1.
A relaxed structure of AcAlSi2Pd. Source: Alexandria, functional GGA-PBE.

Structure (POSCAR):
```
AcAlSi2Pd
1.0
-2.168 2.168 5.209
2.168 -2.168 5.209
2.168 2.168 -5.209
Ac Al Si Pd
1 1 2 1
Direct
0.000 0.000 0.000
0.750 0.250 0.500
0.382 0.382 0.000
0.618 0.618 0.000
0.250 0.750 0.500
```

Properties
The value obtained for the energy relative to the elements, uncorrected is -328 kJ/mol of formula units. As for the crystal system: tetragonal.

---

2.
A relaxed structure of La6Hg2H. Source: Alexandria, functional GGA-PBE.

Structure (POSCAR):
```
La6Hg2H
1.0
6.623 0.000 0.000
0.000 7.267 0.000
-5.935 0.000 11.382
La Hg H
12 4 2
Direct
0.127 0.008 0.262
0.127 0.492 0.762
0.190 0.690 0.044
0.190 0.810 0.544
0.360 0.184 0.028
0.360 0.316 0.528
0.640 0.684 0.472
0.640 0.816 0.972
0.810 0.190 0.456
0.810 0.310 0.956
0.873 0.508 0.238
0.873 0.992 0.738
0.368 0.106 0.754
0.368 0.394 0.254
0.632 0.606 0.746
0.632 0.894 0.246
0.000 0.000 0.000
0.000 0.500 0.500
```

Properties
The total energy is -3.983 eV/atom. As for the crystal system: monoclinic.

---

3.
A relaxed structure of TcTeOs2. Source: Alexandria, functional GGA-PBE.

Structure (POSCAR):
```
TcTeOs2
1.0
2.954 0.000 0.000
0.000 2.954 0.000
0.000 0.000 7.487
Tc Te Os
1 1 2
Direct
0.000 0.000 0.000
0.000 0.000 0.500
0.500 0.500 0.230
0.500 0.500 0.770
```

Properties
The calculation puts the distance to the lowest polymorph of the same formula at 0.053 eV/atom. The value obtained for the energy relative to the elements, uncorrected is 241 kJ/mol of formula units. As for the crystal system: tetragonal.

---

4.
A relaxed structure of BaNaNb2. Source: Alexandria, functional GGA-PBE.

Structure (POSCAR):
```
BaNaNb2
1.0
-4.455 4.455 2.780
4.455 -4.455 2.780
4.455 4.455 -2.780
Ba Na Nb
2 2 4
Direct
0.000 0.000 0.000
0.750 0.250 0.500
0.250 0.750 0.500
0.500 0.500 0.000
0.147 0.625 0.022
0.375 0.397 0.522
0.603 0.125 0.978
0.875 0.853 0.478
```

Properties
The calculation puts the distance to the lowest polymorph of the same formula at 1.203 eV/atom. The value obtained for the formation energy from the elements is 1.503 eV per atom. As for the crystal system: tetragonal.

---

5.
A relaxed structure of Li2CdCo. Source: Alexandria, functional GGA-PBE.

Structure (POSCAR):
```
Li2CdCo
1.0
-3.509 3.509 2.627
3.509 -3.509 2.627
3.509 3.509 -2.627
Li Cd Co
4 2 2
Direct
0.103 0.625 0.978
0.375 0.353 0.478
0.647 0.125 0.022
0.875 0.897 0.522
0.250 0.750 0.500
0.500 0.500 0.000
0.000 0.000 0.000
0.750 0.250 0.500
```

Properties
The value obtained for the formation energy from the elements is 0.327 eV per atom. As for the crystal system: tetragonal.

---

6.
A relaxed structure of Nb2CdP. Source: Alexandria, functional GGA-PBE.

Structure (POSCAR):
```
Nb2CdP
1.0
0.000 3.245 3.245
3.245 0.000 3.245
3.245 3.245 0.000
Nb Cd P
2 1 1
Direct
0.250 0.250 0.250
0.750 0.750 0.750
0.000 0.000 0.000
0.500 0.500 0.500
```

Properties
The calculation puts the distance to the lowest polymorph of the same formula at 0.000 eV/atom. The value obtained for the formation energy from the elements is 0.170 eV per atom. As for the crystal system: cubic.

---

7.
A relaxed structure of LaZrCl. Source: Alexandria, functional GGA-PBE.

Structure (POSCAR):
```
LaZrCl
1.0
4.221 0.000 0.000
0.000 3.920 0.000
-2.065 0.000 9.561
La Zr Cl
2 2 2
Direct
0.105 0.250 0.202
0.895 0.750 0.798
0.275 0.250 0.552
0.725 0.750 0.448
0.415 0.250 0.840
0.585 0.750 0.160
```

Properties
The calculation puts the distance to the lowest polymorph of the same formula at 0.009 eV/atom. The value obtained for the energy relative to the elements, uncorrected is -261 kJ/mol of formula units. As for the crystal system: monoclinic.

---

8.
A relaxed structure of Ca3MgTl2. Source: Alexandria, functional GGA-PBE.

Structure (POSCAR):
```
Ca3MgTl2
1.0
2.725 -8.210 0.000
2.725 8.210 0.000
0.000 0.000 3.972
Ca Mg Tl
3 1 2
Direct
0.000 0.000 0.000
0.328 0.672 0.000
0.672 0.328 0.000
0.500 0.500 0.500
0.159 0.841 0.500
0.841 0.159 0.500
```

Properties
The value obtained for the formation energy from the elements is -0.332 eV per atom. As for the crystal system: orthorhombic.